Entry 1:
# Er2TlCu GGA-PBE optimized geometry
# **Energy relative to the elements**: -0.2917 eV/atom
# **M_tot**: 0.000 μB/atom
# **Symmetry**: P4/mmm (123)
data_Er2TlCu
_chemical_formula_sum 'Er2 Tl1 Cu1'
_space_group_name_H-M_alt 'P 1'
_space_group_IT_number 1
_space_group_name_Hall 'P 1'
_cell_length_a 3.541
_cell_length_b 3.541
_cell_length_c 7.529
_cell_angle_alpha 90.00
_cell_angle_beta 90.00
_cell_angle_gamma 90.00
loop_
_atom_site_label
_atom_site_fract_x
_atom_site_fract_y
_atom_site_fract_z
Er1 0.000 0.000 0.220
Er2 0.000 0.000 0.780
Tl1 0.500 0.500 0.500
Cu1 0.500 0.500 0.000

***

Entry 2:
# Er4Tl3Cu GGA-PBE optimized geometry
# **Excess energy over the best structure of this formula in the dataset**: 0 meV per atom
# **Energy relative to the elements**: -0.3058 eV/atom
# **M_tot**: 0.040 μB/atom
# **Symmetry**: P4/mmm (123)
data_Er4Tl3Cu
_chemical_formula_sum 'Er4 Tl3 Cu1'
_space_group_name_H-M_alt 'P 1'
_space_group_IT_number 1
_space_group_name_Hall 'P 1'
_cell_length_a 3.542
_cell_length_b 3.542
_cell_length_c 16.068
_cell_angle_alpha 90.00
_cell_angle_beta 90.00
_cell_angle_gamma 90.00
loop_
_atom_site_label
_atom_site_fract_x
_atom_site_fract_y
_atom_site_fract_z
Er1 0.000 0.000 0.368
Er2 0.000 0.000 0.896
Tl1 0.500 0.500 0.764
Er3 0.000 0.000 0.632
Cu1 0.500 0.500 0.000
Tl2 0.500 0.500 0.236
Er4 0.000 0.000 0.104
Tl3 0.500 0.500 0.500

***

Entry 3:
# Er4Tl3Cu GGA-PBE optimized geometry
# **Excess energy over the best structure of this formula in the dataset**: 60 meV per atom
# **Energy relative to the elements**: -0.2453 eV/atom
# **M_tot**: 0.000 μB/atom
# **Symmetry**: Pmm2 (25)
data_Er4Tl3Cu
_chemical_formula_sum 'Er4 Tl3 Cu1'
_space_group_name_H-M_alt 'P 1'
_space_group_IT_number 1
_space_group_name_Hall 'P 1'
_cell_length_a 3.798
_cell_length_b 4.760
_cell_length_c 11.585
_cell_angle_alpha 90.00
_cell_angle_beta 90.00
_cell_angle_gamma 90.00
loop_
_atom_site_label
_atom_site_fract_x
_atom_site_fract_y
_atom_site_fract_z
Cu1 0.500 0.500 0.079
Er1 0.500 0.000 0.653
Er2 0.000 0.500 0.872
Tl1 0.000 0.500 0.590
Er3 0.500 0.500 0.328
Er4 0.000 0.000 0.143
Tl2 0.000 0.000 0.412
Tl3 0.500 0.000 0.922

***

Entry 4:
# Er3Tl2Cu GGA-PBE optimized geometry
# **Excess energy over the best structure of this formula in the dataset**: 126 meV per atom
# **Energy relative to the elements**: -0.1781 eV/atom
# **M_tot**: 0.000 μB/atom
# **Symmetry**: C2/c (15)
data_Er3Tl2Cu
_chemical_formula_sum 'Er6 Tl4 Cu2'
_space_group_name_H-M_alt 'P 1'
_space_group_IT_number 1
_space_group_name_Hall 'P 1'
_cell_length_a 6.260
_cell_length_b 6.602
_cell_length_c 8.173
_cell_angle_alpha 102.53
_cell_angle_beta 112.52
_cell_angle_gamma 90.00
loop_
_atom_site_label
_atom_site_fract_x
_atom_site_fract_y
_atom_site_fract_z
Tl1 0.232 0.957 0.672
Tl2 0.560 0.543 0.328
Cu1 0.863 0.750 0.000
Er1 0.937 0.404 0.684
Cu2 0.137 0.250 0.000
Er2 0.063 0.596 0.316
Er3 0.253 0.096 0.316
Tl3 0.440 0.457 0.672
Tl4 0.768 0.043 0.328
Er4 0.355 0.750 0.000
Er5 0.747 0.904 0.684
Er6 0.645 0.250 0.000

***

Entry 5:
# Er4TlCu2 GGA-PBE optimized geometry
# **Excess energy over the best structure of this formula in the dataset**: 100 meV per atom
# **Energy relative to the elements**: -0.0308 eV/atom
# **M_tot**: 0.000 μB/atom
# **Symmetry**: R-3m (166)
data_Er4TlCu2
_chemical_formula_sum 'Er4 Tl1 Cu2'
_space_group_name_H-M_alt 'P 1'
_space_group_IT_number 1
_space_group_name_Hall 'P 1'
_cell_length_a 4.810
_cell_length_b 4.810
_cell_length_c 9.504
_cell_angle_alpha 75.34
_cell_angle_beta 75.34
_cell_angle_gamma 60.00
loop_
_atom_site_label
_atom_site_fract_x
_atom_site_fract_y
_atom_site_fract_z
Er1 0.615 0.615 0.156
Cu1 0.900 0.900 0.300
Er2 0.798 0.798 0.607
Cu2 0.100 0.100 0.700
Er3 0.202 0.202 0.393
Er4 0.385 0.385 0.844
Tl1 0.000 0.000 0.000

***

Entry 6:
# Er3Tl2Cu GGA-PBE optimized geometry
# **Excess energy over the best structure of this formula in the dataset**: 0 meV per atom
# **Energy relative to the elements**: -0.3039 eV/atom
# **M_tot**: 0.024 μB/atom
# **Symmetry**: P4/mmm (123)
data_Er3Tl2Cu
_chemical_formula_sum 'Er3 Tl2 Cu1'
_space_group_name_H-M_alt 'P 1'
_space_group_IT_number 1
_space_group_name_Hall 'P 1'
_cell_length_a 3.527
_cell_length_b 3.527
_cell_length_c 11.883
_cell_angle_alpha 90.00
_cell_angle_beta 90.00
_cell_angle_gamma 90.00
loop_
_atom_site_label
_atom_site_fract_x
_atom_site_fract_y
_atom_site_fract_z
Er1 0.000 0.000 0.641
Tl1 0.500 0.500 0.821
Er2 0.000 0.000 0.000
Er3 0.000 0.000 0.359
Tl2 0.500 0.500 0.179
Cu1 0.500 0.500 0.500

***

Entry 7:
# ErTlCu GGA-PBE optimized geometry
# **Energy relative to the elements**: -0.1597 eV/atom
# **M_tot**: 0.000 μB/atom
# **Symmetry**: C2/m (12)
data_ErTlCu
_chemical_formula_sum 'Er2 Tl2 Cu2'
_space_group_name_H-M_alt 'P 1'
_space_group_IT_number 1
_space_group_name_Hall 'P 1'
_cell_length_a 4.271
_cell_length_b 4.271
_cell_length_c 9.207
_cell_angle_alpha 90.07
_cell_angle_beta 89.93
_cell_angle_gamma 120.10
loop_
_atom_site_label
_atom_site_fract_x
_atom_site_fract_y
_atom_site_fract_z
Er1 0.000 0.000 0.679
Tl1 0.666 0.334 0.904
Cu1 0.667 0.333 0.503
Er2 0.000 0.000 0.321
Cu2 0.333 0.667 0.497
Tl2 0.334 0.666 0.096

***

Entry 8:
# ErTl2Cu GGA-PBE optimized geometry
# **Excess energy over the best structure of this formula in the dataset**: 0 meV per atom
# **Energy relative to the elements**: -0.0546 eV/atom
# **M_tot**: 0.000 μB/atom
# **Symmetry**: P4/mmm (123)
data_ErTl2Cu
_chemical_formula_sum 'Er1 Tl2 Cu1'
_space_group_name_H-M_alt 'P 1'
_space_group_IT_number 1
_space_group_name_Hall 'P 1'
_cell_length_a 4.222
_cell_length_b 4.683
_cell_length_c 4.683
_cell_angle_alpha 90.00
_cell_angle_beta 90.00
_cell_angle_gamma 90.00
loop_
_atom_site_label
_atom_site_fract_x
_atom_site_fract_y
_atom_site_fract_z
Er1 0.500 0.000 0.000
Tl1 0.000 0.000 0.500
Tl2 0.000 0.500 0.000
Cu1 0.500 0.500 0.500

***

Entry 9:
# Er11Tl9Cu4 GGA-PBE optimized geometry
# **Energy relative to the elements**: -0.3130 eV/atom
# **M_tot**: 0.000 μB/atom
# **Symmetry**: Cmmm (65)
data_Er11Tl9Cu4
_chemical_formula_sum 'Er11 Tl9 Cu4'
_space_group_name_H-M_alt 'P 1'
_space_group_IT_number 1
_space_group_name_Hall 'P 1'
_cell_length_a 3.718
_cell_length_b 13.092
_cell_length_c 13.092
_cell_angle_alpha 112.56
_cell_angle_beta 90.00
_cell_angle_gamma 90.00
loop_
_atom_site_label
_atom_site_fract_x
_atom_site_fract_y
_atom_site_fract_z
Tl1 0.500 0.932 0.783
Tl2 0.500 0.783 0.932
Tl3 0.500 0.150 0.630
Tl4 0.500 0.370 0.850
Er1 0.000 0.693 0.693
Er2 0.000 0.838 0.162
Cu1 0.500 0.254 0.451
Cu2 0.500 0.746 0.549
Er3 0.000 0.628 0.372
Er4 0.000 0.417 0.081
Tl5 0.500 0.850 0.370
Tl6 0.500 0.068 0.217
Er5 0.000 0.372 0.628
Cu3 0.500 0.549 0.746
Er6 0.000 0.000 0.000
Cu4 0.500 0.451 0.254
Er7 0.000 0.919 0.583
Tl7 0.500 0.217 0.068
Er8 0.000 0.583 0.919
Er9 0.000 0.162 0.838
Tl8 0.500 0.500 0.500
Er10 0.000 0.081 0.417
Er11 0.000 0.307 0.307
Tl9 0.500 0.630 0.150

***

Entry 10:
# Er4TlCu2 GGA-PBE optimized geometry
# **Excess energy over the best structure of this formula in the dataset**: 0 meV per atom
# **Energy relative to the elements**: -0.1305 eV/atom
# **M_tot**: 0.000 μB/atom
# **Symmetry**: R-3m (166)
data_Er4TlCu2
_chemical_formula_sum 'Er4 Tl1 Cu2'
_space_group_name_H-M_alt 'P 1'
_space_group_IT_number 1
_space_group_name_Hall 'P 1'
_cell_length_a 4.981
_cell_length_b 4.981
_cell_length_c 8.445
_cell_angle_alpha 72.85
_cell_angle_beta 72.85
_cell_angle_gamma 60.00
loop_
_atom_site_label
_atom_site_fract_x
_atom_site_fract_y
_atom_site_fract_z
Tl1 0.000 0.000 0.000
Er1 0.867 0.867 0.398
Er2 0.387 0.387 0.838
Cu1 0.747 0.747 0.759
Er3 0.133 0.133 0.602
Cu2 0.253 0.253 0.241
Er4 0.613 0.613 0.162

***

Entry 11:
# Er5TlCu2 GGA-PBE optimized geometry
# **Energy relative to the elements**: -0.2187 eV/atom
# **M_tot**: 0.000 μB/atom
# **Symmetry**: I4/mcm (140)
data_Er5TlCu2
_chemical_formula_sum 'Er10 Tl2 Cu4'
_space_group_name_H-M_alt 'P 1'
_space_group_IT_number 1
_space_group_name_Hall 'P 1'
_cell_length_a 7.828
_cell_length_b 7.828
_cell_length_c 8.535
_cell_angle_alpha 117.30
_cell_angle_beta 117.30
_cell_angle_gamma 90.00
loop_
_atom_site_label
_atom_site_fract_x
_atom_site_fract_y
_atom_site_fract_z
Er1 0.984 0.484 0.282
Cu1 0.629 0.129 0.000
Cu2 0.371 0.871 0.000
Er2 0.202 0.016 0.718
Tl1 0.750 0.750 0.500
Er3 0.016 0.516 0.718
Er4 0.484 0.298 0.282
Tl2 0.250 0.250 0.500
Cu3 0.129 0.371 0.000
Er5 0.798 0.984 0.282
Er6 0.516 0.702 0.718
Er7 0.702 0.202 0.718
Er8 0.500 0.500 0.000
Cu4 0.871 0.629 0.000
Er9 0.298 0.798 0.282
Er10 0.000 0.000 0.000

***

Entry 12:
# Er3Tl2Cu2 GGA-PBE optimized geometry
# **Energy relative to the elements**: -0.3145 eV/atom
# **M_tot**: 0.000 μB/atom
# **Symmetry**: Cmmm (65)
data_Er3Tl2Cu2
_chemical_formula_sum 'Er3 Tl2 Cu2'
_space_group_name_H-M_alt 'P 1'
_space_group_IT_number 1
_space_group_name_Hall 'P 1'
_cell_length_a 4.189
_cell_length_b 3.623
_cell_length_c 10.838
_cell_angle_alpha 90.00
_cell_angle_beta 78.86
_cell_angle_gamma 90.00
loop_
_atom_site_label
_atom_site_fract_x
_atom_site_fract_y
_atom_site_fract_z
Er1 0.174 0.000 0.652
Er2 0.000 0.000 0.000
Cu1 0.719 0.500 0.562
Tl1 0.416 0.500 0.169
Tl2 0.584 0.500 0.831
Er3 0.826 0.000 0.348
Cu2 0.281 0.500 0.438

***

| no. | density of states at the Fermi level (states/eV/cell) |
| --- | --- |
| 1 | 3.27 |
| 2 | 4.55 |
| 3 | 6.72 |
| 4 | 9.95 |
| 5 | 9.42 |
| 6 | 2.80 |
| 7 | 2.94 |
| 8 | 1.20 |
| 9 | 16.80 |
| 10 | 6.49 |
| 11 | 22.38 |
| 12 | 5.38 |